The following is a GGA-PBEsol calculation of a relaxed structure of KTaSi2O7, from Alexandria.

abc: 8.8344 8.8344 7.8876
angles: 90.00 90.00 90.00
Fractional positions:
1 K 0.1799 0.3201 0.0000
2 K 0.3201 0.8201 0.0000
3 K 0.6799 0.1799 0.0000
4 K 0.8201 0.6799 0.0000
5 Ta 0.0000 0.0000 0.2486
6 Ta 0.0000 0.0000 0.7514
7 Ta 0.5000 0.5000 0.2486
8 Ta 0.5000 0.5000 0.7514
9 Si 0.1222 0.6222 0.2978
10 Si 0.1222 0.6222 0.7022
11 Si 0.3778 0.1222 0.2978
12 Si 0.3778 0.1222 0.7022
13 Si 0.6222 0.8778 0.2978
14 Si 0.6222 0.8778 0.7022
15 Si 0.8778 0.3778 0.2978
16 Si 0.8778 0.3778 0.7022
17 O 0.0000 0.0000 0.0000
18 O 0.0000 0.0000 0.5000
19 O 0.0000 0.5000 0.2170
20 O 0.0000 0.5000 0.7830
21 O 0.0762 0.7888 0.2318
22 O 0.0762 0.7888 0.7682
23 O 0.1121 0.6121 0.5000
24 O 0.2112 0.0762 0.2318
25 O 0.2112 0.0762 0.7682
26 O 0.2888 0.5762 0.2318
27 O 0.2888 0.5762 0.7682
28 O 0.3879 0.1121 0.5000
29 O 0.4238 0.2888 0.2318
30 O 0.4238 0.2888 0.7682
31 O 0.5000 0.0000 0.2170
32 O 0.5000 0.0000 0.7830
33 O 0.5000 0.5000 0.0000
34 O 0.5000 0.5000 0.5000
35 O 0.5762 0.7112 0.2318
36 O 0.5762 0.7112 0.7682
37 O 0.6121 0.8879 0.5000
38 O 0.7112 0.4238 0.2318
39 O 0.7112 0.4238 0.7682
40 O 0.7888 0.9238 0.2318
41 O 0.7888 0.9238 0.7682
42 O 0.8879 0.3879 0.5000
43 O 0.9238 0.2112 0.2318
44 O 0.9238 0.2112 0.7682

Calculated values
The value obtained for the energy relative to the elements, uncorrected is -268.7 kJ per mole of atoms. The value obtained for the density of states at the Fermi level is 0.000 states/eV per atom. The magnetic moment comes out at 0.0 μB/f.u. The crystal system is tetragonal. As for the space-group type: No. 127.


The following is a GGA-PBEsol calculation of a relaxed structure of Li2Ge2O5, from Alexandria.

abc: 8.2099 8.2099 4.9599
angles: 90.00 90.00 137.39
Fractional positions:
1 Li 0.0944 0.2058 0.0000
2 Li 0.2058 0.0944 0.5000
3 Li 0.7942 0.9056 0.5000
4 Li 0.9056 0.7942 0.0000
5 Ge 0.1937 0.4856 0.4945
6 Ge 0.4856 0.1937 0.9945
7 Ge 0.5144 0.8063 0.9945
8 Ge 0.8063 0.5144 0.4945
9 O 0.0000 0.5000 0.3975
10 O 0.0938 0.2267 0.3867
11 O 0.2267 0.0938 0.8867
12 O 0.2511 0.5206 0.8486
13 O 0.4794 0.7489 0.3486
14 O 0.5000 0.0000 0.8975
15 O 0.5206 0.2511 0.3486
16 O 0.7489 0.4794 0.8486
17 O 0.7733 0.9062 0.8867
18 O 0.9062 0.7733 0.3867

Calculated values
The value obtained for the energy relative to the elements, uncorrected is -180.7 kJ per mole of atoms. The value obtained for the density of states at the Fermi level is 0.000 states/eV per atom. The magnetic moment comes out at 0.0 μB/f.u. The crystal system is orthorhombic. As for the space-group type: No. 37.


The following is a GGA-PBEsol calculation of a relaxed structure of YMgBiRh2, from Alexandria.

abc: 4.6217 4.6217 5.0703
angles: 90.00 90.00 90.00
Fractional positions:
1 Y 0.0000 0.0000 0.0000
2 Mg 0.5000 0.5000 0.5000
3 Bi 0.5000 0.5000 0.0000
4 Rh 0.0000 0.5000 0.5000
5 Rh 0.5000 0.0000 0.5000

Calculated values
The formation energy from the elements comes out at 384 meV per atom. The value obtained for the density of states at the Fermi level is 0.872 states/eV per atom. The magnetic moment comes out at 0.0 μB/f.u. The crystal system is tetragonal. As for the space-group type: No. 123.


The following is a GGA-PBEsol calculation of a relaxed structure of Al2TlCl, from Alexandria.

abc: 7.7399 7.7399 7.7399
angles: 135.38 135.38 64.95
Fractional positions:
1 Al 0.1173 0.6250 0.9923
2 Al 0.3750 0.3673 0.4923
3 Al 0.6327 0.1250 0.0077
4 Al 0.8750 0.8827 0.5077
5 Tl 0.0000 0.0000 0.0000
6 Tl 0.7500 0.2500 0.5000
7 Cl 0.2500 0.7500 0.5000
8 Cl 0.5000 0.5000 0.0000

Calculated values
The value obtained for the energy relative to the elements, uncorrected is 18.6 kJ per mole of atoms. The value obtained for the density of states at the Fermi level is 0.186 states/eV per atom. The magnetic moment comes out at 0.0 μB/f.u. The crystal system is tetragonal. As for the space-group type: No. 122.


The following is a GGA-PBEsol calculation of a relaxed structure of WSeSN2, from Alexandria.

abc: 3.8583 3.8583 5.0416
angles: 90.00 90.00 90.00
Fractional positions:
1 W 0.0000 0.0000 0.0000
2 Se 0.5000 0.5000 0.5000
3 S 0.0000 0.0000 0.5000
4 N 0.0000 0.5000 0.0000
5 N 0.5000 0.0000 0.0000

Calculated values
The value obtained for the energy relative to the elements, uncorrected is 45.6 kJ per mole of atoms. The value obtained for the density of states at the Fermi level is 0.711 states/eV per atom. The magnetic moment comes out at 0.0 μB/f.u. The crystal system is tetragonal. As for the space-group type: No. 123.


The following is a GGA-PBEsol calculation of a relaxed structure of GaAg2F2, from Alexandria.

abc: 5.9828 5.9828 5.9828
angles: 142.02 142.02 54.80
Fractional positions:
1 Ga 0.0000 0.0000 0.0000
2 Ag 0.2500 0.7500 0.5000
3 Ag 0.7500 0.2500 0.5000
4 F 0.3851 0.3851 0.0000
5 F 0.6149 0.6149 0.0000

Calculated values
The value obtained for the energy relative to the elements, uncorrected is -57.7 kJ per mole of atoms. The value obtained for the density of states at the Fermi level is 0.271 states/eV per atom. The magnetic moment comes out at 0.0 μB/f.u. The crystal system is tetragonal. As for the space-group type: No. 139.


The following is a GGA-PBEsol calculation of a relaxed structure of YInAu, from Alexandria.

abc: 7.6846 7.6846 3.8918
angles: 90.00 90.00 120.00
Fractional positions:
1 Y 0.0000 0.5969 0.0000
2 Y 0.4031 0.4031 0.0000
3 Y 0.5969 0.0000 0.0000
4 In 0.0000 0.2626 0.5000
5 In 0.2626 0.0000 0.5000
6 In 0.7375 0.7375 0.5000
7 Au 0.0000 0.0000 0.0000
8 Au 0.3333 0.6667 0.5000
9 Au 0.6667 0.3333 0.5000

Calculated values
The formation energy from the elements comes out at -818 meV per atom. The value obtained for the density of states at the Fermi level is 0.323 states/eV per atom. The magnetic moment comes out at 0.0 μB/f.u. The crystal system is hexagonal. As for the space-group type: No. 189.


The following is a GGA-PBEsol calculation of a relaxed structure of TaPd2Cl, from Alexandria.

abc: 4.5175 4.5175 4.5175
angles: 60.00 60.00 60.00
Fractional positions:
1 Ta 0.0000 0.0000 0.0000
2 Pd 0.2500 0.2500 0.2500
3 Pd 0.7500 0.7500 0.7500
4 Cl 0.5000 0.5000 0.5000

Calculated values
The value obtained for the energy relative to the elements, uncorrected is 33.6 kJ per mole of atoms. The value obtained for the density of states at the Fermi level is 0.647 states/eV per atom. The magnetic moment comes out at 0.0 μB/f.u. The crystal system is cubic. As for the space-group type: No. 225.


The following is a GGA-PBEsol calculation of a relaxed structure of CoHgMo2, from Alexandria.

abc: 2.7424 3.9604 5.5280
angles: 90.00 91.29 90.00
Fractional positions:
1 Co 0.0000 0.0000 0.0000
2 Hg 0.0000 0.0000 0.5000
3 Mo 0.4876 0.5000 0.2151
4 Mo 0.5124 0.5000 0.7849

Calculated values
The formation energy from the elements comes out at 352 meV per atom. The value obtained for the density of states at the Fermi level is 0.962 states/eV per atom. The magnetic moment comes out at 1.1 μB/f.u. The crystal system is monoclinic. As for the space-group type: No. 10.


The following is a GGA-PBEsol calculation of a relaxed structure of BeMo2W, from Alexandria.

abc: 4.9619 4.9619 4.9619
angles: 136.87 136.87 62.63
Fractional positions:
1 Be 0.0000 0.0000 0.0000
2 Mo 0.5000 0.5000 0.0000
3 Mo 0.7500 0.2500 0.5000
4 W 0.2500 0.7500 0.5000

Calculated values
The formation energy from the elements comes out at 286 meV per atom. The value obtained for the density of states at the Fermi level is 0.723 states/eV per atom. The magnetic moment comes out at 0.0 μB/f.u. The crystal system is tetragonal. As for the space-group type: No. 119.


The following is a GGA-PBEsol calculation of a relaxed structure of Hg2PO3F, from Alexandria.

abc: 8.8609 8.8609 8.8609
angles: 116.14 92.16 121.45
Fractional positions:
1 Hg 0.1194 0.0187 0.6954
2 Hg 0.1767 0.4813 0.1006
3 Hg 0.3233 0.4240 0.3046
4 Hg 0.3806 0.0760 0.8994
5 Hg 0.6194 0.9240 0.1006
6 Hg 0.6767 0.5760 0.6954
7 Hg 0.8233 0.5187 0.8994
8 Hg 0.8806 0.9813 0.3046
9 P 0.2418 0.4523 0.6942
10 P 0.2582 0.9523 0.2105
11 P 0.7418 0.0477 0.7895
12 P 0.7582 0.5477 0.3058
13 O 0.0896 0.2146 0.6006
14 O 0.1140 0.7146 0.1250
15 O 0.1665 0.0608 0.2274
16 O 0.3335 0.5608 0.8943
17 O 0.3860 0.5110 0.6006
18 O 0.4104 0.0110 0.1250
19 O 0.5896 0.9890 0.8750
20 O 0.6140 0.4890 0.3994
21 O 0.6665 0.4392 0.1057
22 O 0.8335 0.9392 0.7726
23 O 0.8860 0.2854 0.8750
24 O 0.9104 0.7854 0.3994
25 F 0.1302 0.5369 0.6671
26 F 0.3698 0.0369 0.4067
27 F 0.6302 0.9631 0.5933
28 F 0.8698 0.4631 0.3329

Calculated values
The value obtained for the energy relative to the elements, uncorrected is -146.7 kJ per mole of atoms. The value obtained for the density of states at the Fermi level is 0.000 states/eV per atom. The magnetic moment comes out at 0.0 μB/f.u. The crystal system is orthorhombic. As for the space-group type: No. 72.


The following is a GGA-PBEsol calculation of a relaxed structure of ZrSi2Pt, from Alexandria.

abc: 3.6257 4.0112 4.2281
angles: 90.00 90.00 90.00
Fractional positions:
1 Zr 0.0000 0.0000 0.0000
2 Si 0.5000 0.0000 0.5000
3 Si 0.5000 0.5000 0.0000
4 Pt 0.0000 0.5000 0.5000

Calculated values
The value obtained for the energy relative to the elements, uncorrected is -67.1 kJ per mole of atoms. The value obtained for the density of states at the Fermi level is 0.503 states/eV per atom. The magnetic moment comes out at 0.0 μB/f.u. The crystal system is orthorhombic. As for the space-group type: No. 47.